KAgRh2: optimized geometry, PBE.

a = 5.5856 Å, b = 5.5856 Å, c = 2.7023 Å
α = 90.00°, β = 90.00°, γ = 118.29°
Fractional coordinates of all 4 atoms:
Ag: 0.5000 0.0000 0.5000
K: 0.0000 0.5000 0.5000
Rh: 0.0000 0.0000 0.0000
Rh: 0.5000 0.5000 0.0000

Computed properties:
- ΔE to the lowest computed polymorph (meV/atom) = 338.5
- raw total energy (eV/atom) = -3.991
- calculated formation energy (kJ per mole of atoms) = 64.86
- V (Å³/f.u.) = 74.2
- symmetry = Cmmm, No. 65